<a>
The following is a DFT calculation (PBE) of a geometry-optimized KSbTe2Se structure.

Structure (POSCAR):
```
KSbTe2Se
1.0
5.672 0.000 0.000
0.000 5.672 0.000
0.000 0.000 5.551
Se Te Sb K
1 2 1 1
Direct
0.000 0.000 0.000 Se
0.000 0.500 0.000 Te
0.500 0.000 0.000 Te
0.000 0.000 0.500 Sb
0.500 0.500 0.500 K
```

## Properties
- Total magnetic moment: 1.25 μB per formula unit
- DOS at the Fermi energy: 0.510 states/eV/atom

<b>
The following is a DFT calculation (PBE) of a geometry-optimized KSbTe2Se structure.

Structure (POSCAR):
```
KSbTe2Se
1.0
6.000 0.000 0.000
0.000 6.000 0.000
0.000 0.000 6.096
Te K Se Sb
2 1 1 1
Direct
0.000 0.500 0.000 Te
0.500 0.000 0.000 Te
0.000 0.000 0.000 K
0.500 0.500 0.500 Se
0.000 0.000 0.500 Sb
```

## Properties
- Total magnetic moment: 2.95 μB per formula unit
- DOS at the Fermi energy: 1.556 states/eV/atom

Most stable one: <a>, least stable one: <b>.

<a>
The following is a DFT calculation (PBE) of a geometry-optimized K2SiSb structure.

Structure (POSCAR):
```
K2SiSb
1.0
-0.689 1.913 -4.056
-2.103 -3.760 -1.417
-4.791 2.014 1.764
K Si Sb
2 1 1
Direct
0.000 0.000 0.000 K
0.500 0.500 0.000 K
0.000 0.500 0.500 Si
0.500 0.000 0.500 Sb
```

## Properties
- Total magnetic moment: 0.00 μB per formula unit
- DOS at the Fermi energy: 0.461 states/eV/atom

<b>
The following is a DFT calculation (PBE) of a geometry-optimized K2SiSb structure.

Structure (POSCAR):
```
K2SiSb
1.0
-1.668 -1.573 4.975
-1.703 -2.359 -1.317
3.443 -6.333 -0.847
Si K Sb
1 2 1
Direct
0.500 0.750 0.750 Si
0.000 0.004 0.996 K
0.000 0.496 0.504 K
0.500 0.250 0.250 Sb
```

## Properties
- Total magnetic moment: 0.00 μB per formula unit
- DOS at the Fermi energy: 0.492 states/eV/atom

Most stable one: <a>, least stable one: <b>.